No. 1
The following is a PBE-GGA calculation of a geometry-optimized HfMgTiHg2 structure, from the Alexandria database.

The structure in extended XYZ format:
```
5
Lattice="5.286 0.000 0.000 0.000 5.286 0.000 0.000 0.000 4.726" Properties=species:S:1:pos:R:3 pbc="T T T"
Hf 0.000 0.000 0.000
Mg 2.643 2.643 0.000
Ti 0.000 0.000 2.363
Hg 0.000 2.643 2.363
Hg 2.643 0.000 2.363
```

Properties
Theoretical density   8.20 g cm⁻³
Space group   No. 123
E_form   695 meV/atom



No. 2
The following is a PBE-GGA calculation of a geometry-optimized TiNb2Pd structure, from the Alexandria database.

The structure in extended XYZ format:
```
4
Lattice="3.255 0.000 0.000 0.000 3.255 0.000 0.000 0.000 6.445" Properties=species:S:1:pos:R:3 pbc="T T T"
Ti 0.000 0.000 0.000
Nb 1.628 1.628 1.560
Nb 1.628 1.628 4.885
Pd 0.000 0.000 3.223
```

Properties
E above lowest polymorph   125 meV per atom
Theoretical density   8.27 g cm⁻³
Space group   No. 123
E_form   -107 meV/atom



No. 3
The following is a PBE-GGA calculation of a geometry-optimized Li6CdHg12 structure, from the Alexandria database.

The structure in extended XYZ format:
```
19
Lattice="5.359 3.094 4.160 -5.359 3.094 4.160 0.000 -6.188 4.160" Properties=species:S:1:pos:R:3 pbc="T T T"
Li -3.001 0.699 5.731
Li -2.106 -2.250 6.750
Li 0.896 -2.949 5.731
Li -0.896 2.949 6.750
Li 2.106 2.250 5.731
Li 3.001 -0.699 6.750
Cd 0.000 0.000 6.241
Hg -1.319 -4.766 5.366
Hg -4.787 -1.240 7.115
Hg -1.172 -1.619 4.092
Hg -3.468 3.525 5.366
Hg -0.817 1.824 4.092
Hg -1.988 0.205 8.389
Hg 1.988 -0.205 4.092
Hg 0.817 -1.824 8.389
Hg 3.468 -3.525 7.115
Hg 1.172 1.619 8.389
Hg 4.787 1.240 5.366
Hg 1.319 4.766 7.115
```

Properties
Theoretical density   10.28 g cm⁻³
Space group   No. 148
E_form   -213 meV/atom



No. 4
The following is a PBE-GGA calculation of a geometry-optimized Tb4PIrS2 structure, from the Alexandria database.

The structure in extended XYZ format:
```
8
Lattice="6.965 0.000 0.000 0.000 3.967 0.000 -2.245 0.000 6.655" Properties=species:S:1:pos:R:3 pbc="T T T"
Tb 1.163 0.000 1.601
Tb 0.016 1.984 5.068
Tb 4.704 1.984 1.587
Tb 3.557 0.000 5.054
P 3.482 0.000 0.000
Ir 0.000 1.984 0.000
S -1.122 0.000 3.327
S 2.360 1.984 3.327
```

Properties
Theoretical density   8.34 g cm⁻³
Space group   No. 10
Formation energy from raw total energies   -1554 meV per atom



No. 5
The following is a PBE-GGA calculation of a geometry-optimized Ti2Zn3Rh structure, from the Alexandria database.

The structure in extended XYZ format:
```
12
Lattice="5.197 -1.427 0.000 5.197 1.427 0.000 -0.552 0.000 12.495" Properties=species:S:1:pos:R:3 pbc="T T T"
Ti 0.324 0.000 4.922
Ti 3.471 0.000 0.761
Ti 6.372 0.000 11.734
Ti 9.518 0.000 7.573
Zn 0.731 0.000 1.360
Zn 2.404 0.000 9.306
Zn 3.119 0.000 5.416
Zn 6.723 0.000 7.079
Zn 7.438 0.000 3.189
Zn 9.111 0.000 11.135
Rh 4.541 0.000 3.082
Rh 5.302 0.000 9.413
```

Properties
Theoretical density   7.08 g cm⁻³
Space group   No. 12
E_form   -227 meV/atom



No. 6
The following is a PBE-GGA calculation of a geometry-optimized Li11Hg3 structure, from the Alexandria database.

The structure in extended XYZ format:
```
14
Lattice="4.629 0.000 0.000 2.295 6.917 0.000 0.087 2.219 8.269" Properties=species:S:1:pos:R:3 pbc="T T T"
Li 0.000 0.000 0.000
Li 2.327 5.641 2.640
Li 2.352 5.830 5.808
Li 2.313 3.980 0.478
Li 2.362 2.955 4.256
Li 2.329 1.228 1.888
Li 4.682 7.908 6.381
Li 4.649 6.181 4.013
Li 4.698 5.156 7.791
Li 4.659 3.305 2.461
Li 4.684 3.495 5.629
Hg 0.044 1.109 4.134
Hg 2.383 3.627 7.307
Hg 4.628 5.508 0.962
```

Properties
Theoretical density   4.25 g cm⁻³
Space group   No. 2
E_form   -203 meV/atom



No. 7
The following is a PBE-GGA calculation of a geometry-optimized Ni2AgCl structure, from the Alexandria database.

The structure in extended XYZ format:
```
4
Lattice="3.063 0.000 0.000 0.000 3.063 0.000 0.000 0.000 6.645" Properties=species:S:1:pos:R:3 pbc="T T T"
Ni 0.000 0.000 0.000
Ni 1.532 1.532 1.161
Ag 0.000 0.000 2.777
Cl 1.532 1.532 5.267
```

Properties
E above lowest polymorph   73 meV per atom
Theoretical density   6.94 g cm⁻³
Space group   No. 99
Formation energy from raw total energies   219 meV per atom



No. 8
The following is a PBE-GGA calculation of a geometry-optimized Sr2TaAsOs structure, from the Alexandria database.

The structure in extended XYZ format:
```
5
Lattice="5.782 0.000 0.000 0.000 5.782 0.000 0.000 0.000 4.769" Properties=species:S:1:pos:R:3 pbc="T T T"
Sr 0.000 2.891 0.000
Sr 2.891 0.000 0.000
Ta 0.000 0.000 2.384
As 2.891 2.891 2.384
Os 0.000 0.000 0.000
```

Properties
Theoretical density   6.47 g cm⁻³
Space group   No. 123
E_form   621 meV/atom



No. 9
The following is a PBE-GGA calculation of a geometry-optimized KLi2GaRh structure, from the Alexandria database.

The structure in extended XYZ format:
```
5
Lattice="4.954 0.000 0.000 0.000 4.954 0.000 0.000 0.000 4.829" Properties=species:S:1:pos:R:3 pbc="T T T"
K 0.000 0.000 0.000
Li 0.000 2.477 2.414
Li 2.477 0.000 2.414
Ga 2.477 2.477 0.000
Rh 2.477 2.477 2.414
```

Properties
Theoretical density   3.16 g cm⁻³
Space group   No. 123
E_form   -108 meV/atom



No. 10
The following is a PBE-GGA calculation of a geometry-optimized Pm2HoPuTe5 structure, from the Alexandria database.

The structure in extended XYZ format:
```
9
Lattice="5.494 0.000 0.000 0.000 5.494 0.000 0.000 0.000 11.768" Properties=species:S:1:pos:R:3 pbc="T T T"
Pm 0.000 0.000 1.956
Pm 0.000 0.000 9.811
Ho 2.747 2.747 0.000
Pu 2.747 2.747 5.884
Te 0.000 0.000 5.884
Te 0.000 2.747 0.000
Te 2.747 0.000 0.000
Te 2.747 2.747 2.917
Te 2.747 2.747 8.851
```

Properties
Theoretical density   6.25 g cm⁻³
Space group   No. 123
Formation energy from raw total energies   -715 meV per atom



No. 11
The following is a PBE-GGA calculation of a geometry-optimized LiAlGe structure, from the Alexandria database.

The structure in extended XYZ format:
```
6
Lattice="4.778 0.000 0.000 0.000 2.927 0.000 -1.191 0.000 7.085" Properties=species:S:1:pos:R:3 pbc="T T T"
Li 0.920 0.000 1.097
Li 2.667 0.000 5.988
Al -0.596 0.000 3.542
Al 1.793 1.464 3.542
Ge 0.285 1.464 5.804
Ge 3.301 1.464 1.280
```

Properties
Theoretical density   3.57 g cm⁻³
Space group   No. 10
E_form   -111 meV/atom



No. 12
The following is a PBE-GGA calculation of a geometry-optimized Ac8PmNd3 structure, from the Alexandria database.

The structure in extended XYZ format:
```
12
Lattice="-3.696 5.823 6.329 3.696 -5.823 6.329 3.696 5.823 -6.329" Properties=species:S:1:pos:R:3 pbc="T T T"
Ac 3.696 3.942 -3.185
Ac 1.764 3.057 0.000
Ac 1.933 -2.766 6.329
Ac 0.000 1.881 3.144
Ac 3.696 3.942 3.185
Ac 1.764 8.588 0.000
Ac 1.933 2.766 6.329
Ac 0.000 1.881 9.515
Pm 0.000 0.000 0.000
Nd 3.696 0.000 3.528
Nd 0.000 0.000 6.329
Nd 0.000 5.823 2.801
```

Properties
Theoretical density   7.29 g cm⁻³
Space group   No. 71
E_form   347 meV/atom



What is the formula in the fourth record?
Tb4PIrS2



Which of these has the highest theoretical density?
Li6CdHg12